VASP calculation (PBE) on a relaxed Hg2SbAs crystal.

a = 3.3017 Å, b = 3.3017 Å, c = 9.5106 Å
α = 90.00°, β = 90.00°, γ = 109.58°
With the nearest neighbours (Å) after each atom.
Element x y z (fractional)
Hg (0.0000, 0.0000, 0.5147)  2 As 2.94, 2 Sb 3.16
Hg (0.0000, 0.0000, 0.9853)  2 As 2.94, 2 Sb 3.16
As (0.5000, 0.5000, 0.7500)  4 Hg 2.94
Sb (0.5000, 0.5000, 0.2500)  4 Hg 3.16, 4 Sb 3.30

Summary:
As for the energy above the most stable polymorph in this dataset: 252 meV/atom. The formation energy from raw total energies is 0.2880 eV per atom. As for the symmetry: Cmmm, No. 65.

***

VASP calculation (PBE) on a relaxed MnInIr crystal.

a = 4.3897 Å, b = 4.3897 Å, c = 4.3897 Å
α = 60.00°, β = 60.00°, γ = 60.00°
With the nearest neighbours (Å) after each atom.
Element x y z (fractional)
Mn (0.0000, 0.0000, 0.0000)  4 Ir 2.69
Ir (0.2500, 0.2500, 0.2500)  4 In 2.69, 4 Mn 2.69
In (0.5000, 0.5000, 0.5000)  4 Ir 2.69

Summary:
The formation energy comes out at 118 meV/atom. As for the symmetry: F-43m, No. 216.

***

Q: Which formula does entry 2 have?
A: MnInIr

***

Q: What is the formula in the second record?
A: MnInIr